LiCa2Tb3Se6 | PBE | relaxed

Raw formation energy in eV per atom: -1.83

Cell: 7.083 7.083 7.201 Å, 99.43 99.43 120.02°
Fractional positions:
Li1 0.000 0.000 0.000
Ca1 0.334 0.666 0.000
Ca2 0.666 0.334 0.000
Tb1 0.168 0.832 0.500
Tb2 0.500 0.500 0.500
Tb3 0.832 0.168 0.500
Se1 0.083 0.410 0.250
Se2 0.243 0.243 0.749
Se3 0.410 0.083 0.250
Se4 0.590 0.917 0.750
Se5 0.757 0.757 0.251
Se6 0.917 0.590 0.750